Here is ScTa2Br after structural relaxation from Alexandria. Energies are from PBE.

a b c (Å): 5.556 5.556 3.064
angles (deg): 90.00 90.00 122.26
Fractional coordinates of all 4 atoms:
Ta 0.500 0.500 0.000
Br 0.500 0.000 0.500
Ta 0.000 0.000 0.000
Sc 0.000 0.500 0.500

Properties
Energy relative to the elements, uncorrected in eV per atom: 0.509
Polymorph energy (0 for the lowest one) in meV/atom: 580
Density of states at the Fermi level in states/eV per cell: 4.39


Here is ScTaBr2 after structural relaxation from Alexandria. Energies are from PBE.

a b c (Å): 9.412 9.412 9.412
angles (deg): 20.00 20.00 20.00
Fractional coordinates of all 4 atoms:
Sc 0.500 0.500 0.500
Br 0.096 0.096 0.096
Ta 0.000 0.000 0.000
Br 0.904 0.904 0.904

Properties
Energy relative to the elements, uncorrected in eV per atom: -0.228
Polymorph energy (0 for the lowest one) in meV/atom: 504
Density of states at the Fermi level in states/eV per cell: 2.82


Here is ScTa2Br after structural relaxation from Alexandria. Energies are from PBE.

a b c (Å): 9.008 9.008 9.008
angles (deg): 21.33 21.33 21.33
Fractional coordinates of all 4 atoms:
Ta 0.995 0.995 0.995
Br 0.496 0.496 0.496
Sc 0.750 0.750 0.750
Ta 0.258 0.258 0.258

Properties
Energy relative to the elements, uncorrected in eV per atom: 0.041
Polymorph energy (0 for the lowest one) in meV/atom: 113
Density of states at the Fermi level in states/eV per cell: 4.32


Here is ScTa4Br after structural relaxation from Alexandria. Energies are from PBE.

a b c (Å): 5.630 5.630 5.630
angles (deg): 60.00 60.00 60.00
Fractional coordinates of all 6 atoms:
Sc 0.000 0.000 0.000
Ta 0.372 0.372 0.884
Ta 0.372 0.884 0.372
Ta 0.372 0.372 0.372
Br 0.750 0.750 0.750
Ta 0.884 0.372 0.372

Properties
Energy relative to the elements, uncorrected in eV per atom: 0.606
Density of states at the Fermi level in states/eV per cell: 5.01


Here is ScTaBr2 after structural relaxation from Alexandria. Energies are from PBE.

a b c (Å): 3.220 3.220 9.190
angles (deg): 90.00 90.00 90.00
Fractional coordinates of all 4 atoms:
Br 0.500 0.500 0.317
Sc 0.000 0.000 0.508
Br 0.000 0.000 0.926
Ta 0.500 0.500 0.749

Properties
Energy relative to the elements, uncorrected in eV per atom: -0.466
Polymorph energy (0 for the lowest one) in meV/atom: 266
Density of states at the Fermi level in states/eV per cell: 2.02


Here is ScTa2Br after structural relaxation from Alexandria. Energies are from PBE.

a b c (Å): 3.070 4.860 5.423
angles (deg): 90.00 90.00 90.00
Fractional coordinates of all 4 atoms:
Sc 0.500 0.500 0.750
Ta 0.000 0.000 0.513
Ta 0.000 0.000 0.987
Br 0.500 0.500 0.250

Properties
Energy relative to the elements, uncorrected in eV per atom: 0.458
Polymorph energy (0 for the lowest one) in meV/atom: 530
Density of states at the Fermi level in states/eV per cell: 4.01